22
Lattice="9.158 0.000 4.042 4.037 10.487 3.249 0.159 -0.179 12.034" Properties=species:S:1:pos:R:3 comment="CaIn2I8 | the Alexandria database | GGA-PBE | optimized geometry" spacegroup="C2/c (15)" e_form_raw_ev_per_atom=-0.798 total_magnetization_mub_per_fu=0.0 pbc="T T T"
I 6.533 8.034 10.592
Ca 10.271 2.487 13.873
I 3.989 2.881 2.754
I 10.780 8.235 12.261
I 2.574 2.073 7.063
I 10.381 10.063 8.239
I 9.365 7.427 16.571
I 4.303 7.227 14.542
I 2.973 0.244 11.085
In 4.601 3.687 8.128
I 5.324 5.713 6.343
I 8.102 0.380 12.818
In 11.307 8.841 17.803
I 6.821 2.273 8.733
I 5.252 9.927 6.507
In 2.047 1.467 1.521
I 3.293 4.730 10.360
I 10.061 5.577 8.965
I 9.051 3.081 4.783
In 8.753 6.621 11.196
Ca 3.083 7.820 5.452
I 8.030 4.594 12.982

---

7
Lattice="4.466 0.000 1.208 1.606 7.450 2.922 -0.057 -0.350 9.069" Properties=species:S:1:pos:R:3 comment="CaIn2I4 | the Alexandria database | GGA-PBE | optimized geometry" spacegroup="C2/m (12)" e_form_raw_ev_per_atom=-0.938 total_magnetization_mub_per_fu=0.0 polymorph_energy_mev_per_atom=0 pbc="T T T"
Ca 0.000 0.000 0.000
I 1.905 1.790 1.818
In 2.519 3.623 8.404
I 0.594 1.508 6.664
I 4.110 5.309 11.382
In 3.495 3.476 4.795
I 5.421 5.591 6.535

---

18
Lattice="-5.799 2.925 -4.512 1.321 -7.795 0.179 -9.885 -1.403 11.795" Properties=species:S:1:pos:R:3 comment="KCaInI6 | the Alexandria database | GGA-PBE | optimized geometry" spacegroup="P-31c (163)" e_form_raw_ev_per_atom=-1.066 total_magnetization_mub_per_fu=0.0 pbc="T T T"
I -10.850 -7.048 7.536
I -8.463 -2.499 -0.045
I -6.583 -0.114 -2.753
I -10.114 -3.090 8.624
In -8.466 -5.274 7.462
In -5.897 -0.999 0.000
K -4.943 -0.702 5.897
I -7.082 -7.508 6.073
K 0.000 0.000 0.000
I -7.780 -6.159 10.215
I -5.291 -2.207 2.648
I -5.901 -3.774 7.507
I -9.072 -4.066 4.814
I -3.513 0.775 -0.074
I -7.282 1.235 1.389
Ca -3.524 -4.573 1.564
Ca -10.840 -1.701 5.898
I -4.250 -3.183 -1.162

---

12
Lattice="7.616 0.071 -0.004 0.119 7.183 -0.007 0.008 0.013 9.577" Properties=species:S:1:pos:R:3 comment="KCa2InI8 | the Alexandria database | GGA-PBE | optimized geometry" spacegroup="P2/m (10)" e_form_raw_ev_per_atom=-1.140 total_magnetization_mub_per_fu=0.0 pbc="T T T"
I 2.742 2.036 4.786
I 5.001 5.231 4.780
I 1.240 5.459 2.068
I 1.248 5.469 7.498
Ca 3.869 3.631 2.348
In 0.000 0.000 0.000
K 0.004 0.006 4.789
I 5.131 5.460 9.568
I 2.613 1.808 -0.002
I 6.503 1.808 7.498
I 6.495 1.798 2.068
Ca 3.874 3.637 7.219

---

15
Lattice="-3.630 -6.280 6.840 9.841 1.408 -0.751 -5.822 7.330 3.640" Properties=species:S:1:pos:R:3 comment="K3CaIn3I8 | the Alexandria database | GGA-PBE | optimized geometry" spacegroup="R-3m (166)" e_form_raw_ev_per_atom=-1.098 total_magnetization_mub_per_fu=0.0 pbc="T T T"
I -0.597 4.513 3.827
Ca -2.911 3.665 1.820
K 0.000 0.000 0.000
In 0.194 1.229 4.864
I -2.417 0.614 2.566
K 4.921 0.704 -0.376
I 2.806 1.844 7.162
In 2.009 4.369 1.444
I 0.985 -2.055 5.902
K 3.105 -2.436 3.044
I -4.406 -2.827 6.313
I -2.168 1.484 7.478
I 4.795 5.284 3.415
I 2.557 0.973 2.251
In -4.726 0.525 5.240

---

16
Lattice="8.450 0.129 -0.084 -2.344 8.120 -0.084 -2.645 -3.572 10.367" Properties=species:S:1:pos:R:3 comment="CaMnInI5 | the Alexandria database | GGA-PBE | optimized geometry" spacegroup="C2/c (15)" e_form_raw_ev_per_atom=-0.855 total_magnetization_mub_per_fu=5.0 pbc="T T T"
In 2.710 0.231 7.692
I 2.477 1.955 0.570
Mn -0.897 2.901 7.692
I 6.655 2.402 1.233
I -0.176 1.153 5.753
I 3.637 3.523 4.446
Ca 0.000 0.000 0.000
I 5.473 -1.815 7.692
I -2.011 6.491 2.508
I -3.193 2.274 8.967
I 4.429 -0.604 3.783
I -0.968 5.280 6.416
In 0.752 4.445 2.508
I 0.985 2.721 9.630
Mn 4.358 1.775 2.508
Ca -1.322 -1.786 5.184

---

5
Lattice="-0.413 5.331 -0.950 -4.964 0.159 3.045 2.812 1.026 4.532" Properties=species:S:1:pos:R:3 comment="CaInMoI2 | the Alexandria database | GGA-PBE | optimized geometry" spacegroup="P4/mmm (123)" e_form_raw_ev_per_atom=0.410 total_magnetization_mub_per_fu=1.5 pbc="T T T"
In -1.283 3.258 3.313
Ca -2.482 0.079 1.522
I -0.206 2.665 -0.475
I 1.406 0.513 2.266
Mo 0.000 0.000 0.000

---

5
Lattice="4.353 0.000 0.000 0.000 4.353 0.000 0.000 0.000 6.008" Properties=species:S:1:pos:R:3 comment="CaInIN2 | the Alexandria database | GGA-PBE | optimized geometry" spacegroup="P4/mmm (123)" e_form_raw_ev_per_atom=0.714 total_magnetization_mub_per_fu=1.8 polymorph_energy_mev_per_atom=0 pbc="T T T"
N 0.000 2.176 0.000
I 0.000 0.000 3.004
In 0.000 0.000 0.000
Ca 2.176 2.176 3.004
N 2.176 0.000 0.000

---

5
Lattice="4.938 0.000 0.000 0.000 4.938 0.000 0.000 0.000 6.383" Properties=species:S:1:pos:R:3 comment="CaInIN2 | the Alexandria database | GGA-PBE | optimized geometry" spacegroup="P4/mmm (123)" e_form_raw_ev_per_atom=0.878 total_magnetization_mub_per_fu=4.0 polymorph_energy_mev_per_atom=164 pbc="T T T"
In 2.469 2.469 3.192
I 0.000 0.000 3.192
N 2.469 0.000 0.000
Ca 0.000 0.000 0.000
N 0.000 2.469 0.000

---

18
Lattice="4.663 0.000 0.000 -2.331 10.066 0.000 0.000 0.000 16.258" Properties=species:S:1:pos:R:3 comment="NaCaIn2I5 | the Alexandria database | GGA-PBE | optimized geometry" spacegroup="Cmc2_1 (36)" e_form_raw_ev_per_atom=-0.999 total_magnetization_mub_per_fu=0.0 pbc="T T T"
I 0.000 7.716 0.011
In 2.331 8.328 2.465
Ca 0.000 4.622 0.481
I 0.000 9.985 12.589
In 0.000 1.738 10.594
Ca 2.331 5.444 8.610
I 0.000 1.515 1.137
I 2.331 8.550 9.266
I 2.331 0.081 4.460
I 0.000 5.221 10.810
I 2.331 4.845 2.681
I 2.331 4.140 14.668
In 0.000 2.515 4.555
I 0.000 5.926 6.539
Na 2.331 0.981 15.454
Na 0.000 9.085 7.325
In 2.331 7.550 12.684
I 2.331 2.350 8.140

---

5
Lattice="4.508 0.000 0.000 0.000 4.508 0.000 0.000 0.000 5.536" Properties=species:S:1:pos:R:3 comment="CaInIO2 | the Alexandria database | GGA-PBE | optimized geometry" spacegroup="P4/mmm (123)" e_form_raw_ev_per_atom=-0.910 total_magnetization_mub_per_fu=0.0 polymorph_energy_mev_per_atom=0 pbc="T T T"
In 0.000 0.000 0.000
O 0.000 2.254 0.000
I 0.000 0.000 2.768
O 2.254 0.000 0.000
Ca 2.254 2.254 2.768

---

5
Lattice="-2.161 3.945 -0.412 -1.384 -0.311 4.289 5.228 3.063 1.909" Properties=species:S:1:pos:R:3 comment="CaInIO2 | the Alexandria database | GGA-PBE | optimized geometry" spacegroup="P4/mmm (123)" e_form_raw_ev_per_atom=-0.642 total_magnetization_mub_per_fu=0.3 polymorph_energy_mev_per_atom=269 pbc="T T T"
Ca 0.000 0.000 0.000
In 0.841 3.349 2.893
O -0.692 -0.155 2.144
I 2.614 1.532 0.954
O -1.081 1.973 -0.206

---

no.,ρ (kg/m³)
1,3706
2,4217
3,3791
4,3960
5,3556
6,3953
7,4877
8,4519
9,3305
10,4036
11,4630
12,4020